# KLi4SiPd2 (PBE, relaxed)
data_KLi4SiPd2
_chemical_formula_sum 'K1 Li4 Si1 Pd2'
_cell_length_a 4.417
_cell_length_b 4.417
_cell_length_c 6.897
_cell_angle_alpha 90.00
_cell_angle_beta 90.00
_cell_angle_gamma 90.00
_space_group_name_H-M_alt 'P -4 m 2'
_space_group_IT_number 115
loop_
_space_group_symop_operation_xyz
'x,y,z'
'y,-x,-z'
'-x,-y,z'
'-y,x,-z'
'-x,y,z'
'-y,-x,-z'
'x,-y,z'
'y,x,-z'
loop_
_atom_site_label
_atom_site_fract_x
_atom_site_fract_y
_atom_site_fract_z
K1 0.000 0.000 0.000
Li1 0.000 0.000 0.500
Li2 0.000 0.500 0.701
Li3 0.500 0.500 0.000
Si1 0.500 0.500 0.500
Pd1 0.000 0.500 0.324
# calculated density: 3.8 Mg/m³
# calculated total energy: -26.445 eV/cell